i) Entry from Alexandria: Tb2Pm7Th2 after structural relaxation (GGA-PBE).

## Properties
As for the density of states at the Fermi level: 1.38 states/eV per atom. Its space-group type is No. 12.

Structure (CIF):
```
data_Tb2Pm7Th2
_chemical_formula_sum 'Tb2 Pm7 Th2'
_symmetry_space_group_name_H-M 'P 1'
_symmetry_Int_Tables_number 1
_cell_length_a 8.762
_cell_length_b 6.064
_cell_length_c 8.762
_cell_angle_alpha 63.93
_cell_angle_beta 97.62
_cell_angle_gamma 116.07
loop_
_symmetry_equiv_pos_as_xyz
'x,y,z'
loop_
_atom_site_label
_atom_site_fract_x
_atom_site_fract_y
_atom_site_fract_z
Tb1 0.225 0.853 0.775
Tb2 0.775 0.147 0.225
Pm1 0.408 0.189 0.046
Pm2 0.046 0.811 0.408
Pm3 0.592 0.811 0.954
Pm4 0.954 0.189 0.592
Pm5 0.573 0.348 0.427
Pm6 0.000 0.000 0.000
Pm7 0.427 0.652 0.573
Th1 0.786 0.500 0.786
Th2 0.214 0.500 0.214
```



ii) Entry from Alexandria: Tb2Pm7Th2 after structural relaxation (GGA-PBE).

## Properties
As for the density of states at the Fermi level: 1.51 states/eV per atom. Its space-group type is No. 12.

Structure (CIF):
```
data_Tb2Pm7Th2
_chemical_formula_sum 'Tb2 Pm7 Th2'
_symmetry_space_group_name_H-M 'P 1'
_symmetry_Int_Tables_number 1
_cell_length_a 6.167
_cell_length_b 8.096
_cell_length_c 8.096
_cell_angle_alpha 91.20
_cell_angle_beta 74.55
_cell_angle_gamma 74.55
loop_
_symmetry_equiv_pos_as_xyz
'x,y,z'
loop_
_atom_site_label
_atom_site_fract_x
_atom_site_fract_y
_atom_site_fract_z
Tb1 0.500 0.222 0.778
Tb2 0.500 0.778 0.222
Pm1 0.170 0.061 0.587
Pm2 0.830 0.413 0.939
Pm3 0.830 0.939 0.413
Pm4 0.170 0.587 0.061
Pm5 0.000 0.000 0.000
Pm6 0.588 0.765 0.765
Pm7 0.412 0.235 0.235
Th1 0.804 0.423 0.423
Th2 0.196 0.577 0.577
```



What is the least stable structure shown above? It is i).